# TcNiNF2 PBE with a Hubbard U relaxed
data_TcNiNF2
_cell_length_a 3.435
_cell_length_b 3.435
_cell_length_c 6.053
_cell_angle_alpha 90.00
_cell_angle_beta 90.00
_cell_angle_gamma 90.00
_symmetry_space_group_name_H-M 'P 4/m m m'
_symmetry_Int_Tables_number 123
_symmetry_space_group_name_Hall '-P 4 2'
loop_
_atom_site_label
_atom_site_fract_x
_atom_site_fract_y
_atom_site_fract_z
_atom_site_occupancy
Tc1 0.000 0.000 0.000 1
Ni1 0.500 0.500 0.500 1
N1 0.500 0.500 0.000 1
F1 0.000 0.500 0.500 1
# Electronic total energy: -24.23 eV per cell